Compound: AlZn3Te
Source: the Alexandria database
Functional: PBE
Structure: optimized geometry

```
AlZn3Te
1.0
5.310 0.000 0.000
0.000 5.310 0.000
0.000 0.000 5.310
Zn Te Al
3 1 1
direct
0.000 0.500 0.000
0.000 0.000 0.500
0.500 0.000 0.000
0.000 0.000 0.000
0.500 0.500 0.500
```

Values from the calculation:
E above lowest polymorph (meV per atom): 374
DOS(E_F) (states/eV per atom): 0.695
Energy relative to the elements, uncorrected (meV per atom): 741